This record from Alexandria describes an optimized crystal structure of TaWN. The functional is PBE-GGA.

Cell lengths 2.905, 4.998, 5.345 Å; angles 90.00, 90.00, 90.00 degrees
Space group Pmn2_1 (No. 31)
Symmetry-distinct sites (fractional):
Ta (0.000, 0.024, 0.000) [2 per cell]
W (0.000, 0.482, 0.344) [2 per cell]
N (0.000, 0.260, 0.671) [2 per cell]

Output
ΔE_f (raw)	-0.484	eV/atom
density	16.21	g/cm3